No. 1
A plane-wave DFT calculation with meta-GGA SCAN was carried out for Zn2InPd2 at its PBEsol-relaxed geometry.

Cell: 7.1374 7.1374 3.0913 Å, 90.00 90.00 90.00°
Last column: nearest neighbours and their distance in Å.
Atoms (fractional coordinates):
Zn (0.1464, 0.3536, 0.0000)  6 Pd 2.59-2.61
Zn (0.3536, 0.8536, 0.0000)  6 Pd 2.59-2.61
Zn (0.6464, 0.1464, 0.0000)  6 Pd 2.59-2.61
Zn (0.8536, 0.6464, 0.0000)  6 Pd 2.59-2.61
In (0.0000, 0.0000, 0.5000)  4 Pd 2.73
In (0.5000, 0.5000, 0.5000)  4 Pd 2.73
Pd (0.1481, 0.6481, 0.5000)  6 Zn 2.59-2.61, 2 In 2.73
Pd (0.3519, 0.1481, 0.5000)  6 Zn 2.59-2.61, 2 In 2.73
Pd (0.6481, 0.8519, 0.5000)  6 Zn 2.59-2.61, 2 In 2.73
Pd (0.8519, 0.3519, 0.5000)  6 Zn 2.59-2.61, 2 In 2.73

Computed properties:
ΔH_f (0 K) ... -193 kJ/mol of formula units

---

No. 2
A plane-wave DFT calculation with meta-GGA SCAN was carried out for ZnInPd2 at its PBEsol-relaxed geometry.

Cell: 4.4348 4.4348 4.4348 Å, 60.00 60.00 60.00°
Last column: nearest neighbours and their distance in Å.
Atoms (fractional coordinates):
Zn (0.0000, 0.0000, 0.0000)  8 Pd 2.72
In (0.5000, 0.5000, 0.5000)  8 Pd 2.72
Pd (0.2500, 0.2500, 0.2500)  4 In 2.72, 4 Zn 2.72
Pd (0.7500, 0.7500, 0.7500)  4 In 2.72, 4 Zn 2.72

Computed properties:
ΔH_f (0 K) ... -200 kJ/mol of formula units

---

No. 3
A plane-wave DFT calculation with meta-GGA SCAN was carried out for Zr3InPd at its PBEsol-relaxed geometry.

Cell: 4.9861 4.9861 4.9861 Å, 90.00 90.00 90.00°
Last column: nearest neighbours and their distance in Å.
Atoms (fractional coordinates):
Zr (0.0000, 0.0000, 0.5000)  2 Pd 2.49
Zr (0.0000, 0.5000, 0.0000)  2 Pd 2.49
Zr (0.5000, 0.0000, 0.0000)  2 Pd 2.49
In (0.5000, 0.5000, 0.5000)  12 Zr 3.53
Pd (0.0000, 0.0000, 0.0000)  6 Zr 2.49

Computed properties:
ΔH_f (0 K) ... 40 kJ/mol of formula units

---

No. 4
A plane-wave DFT calculation with meta-GGA SCAN was carried out for PmSmIn2 at its PBEsol-relaxed geometry.

Cell: 5.3312 5.3312 5.3312 Å, 60.00 60.00 60.00°
Last column: nearest neighbours and their distance in Å.
Atoms (fractional coordinates):
Pm (0.0000, 0.0000, 0.0000)  8 In 3.26
Sm (0.5000, 0.5000, 0.5000)  8 In 3.26
In (0.2500, 0.2500, 0.2500)  4 Pm 3.26, 4 Sm 3.26
In (0.7500, 0.7500, 0.7500)  4 Pm 3.26, 4 Sm 3.26

Computed properties:
ΔH_f (0 K) ... -253 kJ/mol of formula units

---

No. 5
A plane-wave DFT calculation with meta-GGA SCAN was carried out for Pr32In3Rh19 at its PBEsol-relaxed geometry.

Cell: 9.8592 11.6942 11.6942 Å, 90.76 90.00 90.00°
Last column: nearest neighbours and their distance in Å.
Atoms (fractional coordinates):
Pr (0.0000, 0.0214, 0.0214)  4 Rh 2.85-2.90
Pr (0.0000, 0.3126, 0.3126)  4 Rh 2.76-2.89
Pr (0.0000, 0.5252, 0.8147)  4 Rh 2.78-2.94
Pr (0.0000, 0.8147, 0.5252)  4 Rh 2.78-2.94
Pr (0.1927, 0.2514, 0.8763)  3 Rh 2.95-2.98, 1 In 3.24
Pr (0.1933, 0.3771, 0.5879)  3 Rh 2.94-2.96, 1 In 3.25
Pr (0.1933, 0.5879, 0.3771)  3 Rh 2.94-2.96, 1 In 3.25
Pr (0.1927, 0.8763, 0.2514)  3 Rh 2.95-2.98, 1 In 3.24
Pr (0.1940, 0.0898, 0.4581)  3 Rh 2.96-3.01, 1 In 3.23
Pr (0.1940, 0.4581, 0.0898)  3 Rh 2.96-3.01, 1 In 3.23
Pr (0.1971, 0.7485, 0.9623)  3 Rh 2.96-3.02, 1 In 3.24
Pr (0.1971, 0.9623, 0.7485)  3 Rh 2.96-3.02, 1 In 3.24
Pr (0.3009, 0.6646, 0.6646)  3 Rh 2.96-3.09
Pr (0.3070, 0.1685, 0.1685)  4 Rh 2.93-3.18
Pr (0.5000, 0.1143, 0.8857)  5 Rh 2.86-3.08
Pr (0.5000, 0.2469, 0.4562)  5 Rh 2.82-3.07
Pr (0.5000, 0.3889, 0.7402)  5 Rh 2.83-3.07
Pr (0.5000, 0.4562, 0.2469)  5 Rh 2.82-3.07
Pr (0.5000, 0.5850, 0.9732)  5 Rh 2.84-3.07
Pr (0.5000, 0.7402, 0.3889)  5 Rh 2.83-3.07
Pr (0.5000, 0.8857, 0.1143)  5 Rh 2.86-3.08
Pr (0.5000, 0.9732, 0.5850)  5 Rh 2.84-3.07
Pr (0.6930, 0.1685, 0.1685)  4 Rh 2.93-3.18
Pr (0.6991, 0.6646, 0.6646)  3 Rh 2.96-3.09
Pr (0.8029, 0.7485, 0.9623)  3 Rh 2.96-3.02, 1 In 3.24
Pr (0.8029, 0.9623, 0.7485)  3 Rh 2.96-3.02, 1 In 3.24
Pr (0.8060, 0.0898, 0.4581)  3 Rh 2.96-3.01, 1 In 3.23
Pr (0.8060, 0.4581, 0.0898)  3 Rh 2.96-3.01, 1 In 3.23
Pr (0.8073, 0.2514, 0.8763)  3 Rh 2.95-2.98, 1 In 3.24
Pr (0.8067, 0.3771, 0.5879)  3 Rh 2.94-2.96, 1 In 3.25
Pr (0.8067, 0.5879, 0.3771)  3 Rh 2.94-2.96, 1 In 3.25
Pr (0.8073, 0.8763, 0.2514)  3 Rh 2.95-2.98, 1 In 3.24
In (0.0000, 0.1677, 0.6671)  8 Pr 3.23-3.25, 2 Rh 3.35
In (0.0000, 0.6671, 0.1677)  8 Pr 3.23-3.25, 2 Rh 3.35
In (0.5000, 0.8370, 0.8370)  2 Rh 3.28, 10 Pr 3.28-3.49
Rh (0.0000, 0.0690, 0.2653)  6 Pr 2.89-2.96
Rh (0.0000, 0.2653, 0.0690)  6 Pr 2.89-2.96
Rh (0.0000, 0.5697, 0.5697)  6 Pr 2.92-2.96
Rh (0.0000, 0.7726, 0.7726)  6 Pr 2.94-2.96
Rh (0.2749, 0.3457, 0.3457)  6 Pr 2.76-2.96
Rh (0.2762, 0.4949, 0.8492)  6 Pr 2.78-2.98
Rh (0.2762, 0.8492, 0.4949)  6 Pr 2.78-2.98
Rh (0.2844, 0.9892, 0.9892)  6 Pr 2.85-2.96
Rh (0.3401, 0.1745, 0.6684)  8 Pr 2.94-3.08, 1 Rh 3.15
Rh (0.3401, 0.6684, 0.1745)  8 Pr 2.94-3.08, 1 Rh 3.15
Rh (0.5000, 0.0212, 0.3272)  5 Pr 2.93-3.18
Rh (0.5000, 0.3272, 0.0212)  5 Pr 2.93-3.18
Rh (0.5000, 0.5197, 0.5197)  6 Pr 3.02-3.27
Rh (0.6599, 0.1745, 0.6684)  8 Pr 2.94-3.08, 1 Rh 3.15
Rh (0.6599, 0.6684, 0.1745)  8 Pr 2.94-3.08, 1 Rh 3.15
Rh (0.7156, 0.9892, 0.9892)  6 Pr 2.85-2.96
Rh (0.7238, 0.4949, 0.8492)  6 Pr 2.78-2.98
Rh (0.7238, 0.8492, 0.4949)  6 Pr 2.78-2.98
Rh (0.7251, 0.3457, 0.3457)  6 Pr 2.76-2.96

Computed properties:
ΔH_f (0 K) ... -3527 kJ/mol of formula units

---

No. 6
A plane-wave DFT calculation with meta-GGA SCAN was carried out for PrIn2Rh at its PBEsol-relaxed geometry.

Cell: 5.5489 5.5489 7.8646 Å, 90.00 90.00 133.27°
Last column: nearest neighbours and their distance in Å.
Atoms (fractional coordinates):
Pr (0.0673, 0.9327, 0.7500)  3 Rh 2.86-3.13
Pr (0.9327, 0.0673, 0.2500)  3 Rh 2.86-3.13
In (0.3542, 0.6458, 0.5506)  3 Rh 2.76-2.79, 1 In 3.08
In (0.3542, 0.6458, 0.9494)  3 Rh 2.76-2.79, 1 In 3.08
In (0.6458, 0.3542, 0.0506)  3 Rh 2.76-2.79, 1 In 3.08
In (0.6458, 0.3542, 0.4494)  3 Rh 2.76-2.79, 1 In 3.08
Rh (0.2136, 0.7864, 0.2500)  6 In 2.76-2.79, 1 Pr 2.86
Rh (0.7864, 0.2136, 0.7500)  6 In 2.76-2.79, 1 Pr 2.86

Computed properties:
ΔH_f (0 K) ... -282 kJ/mol of formula units

---

No. 7
A plane-wave DFT calculation with meta-GGA SCAN was carried out for PrSmIn2 at its PBEsol-relaxed geometry.

Cell: 5.3712 5.3712 5.3712 Å, 60.00 60.00 60.00°
Last column: nearest neighbours and their distance in Å.
Atoms (fractional coordinates):
Pr (0.0000, 0.0000, 0.0000)  8 In 3.29
Sm (0.5000, 0.5000, 0.5000)  8 In 3.29
In (0.2500, 0.2500, 0.2500)  4 Sm 3.29, 4 Pr 3.29
In (0.7500, 0.7500, 0.7500)  4 Sm 3.29, 4 Pr 3.29

Computed properties:
ΔH_f (0 K) ... -251 kJ/mol of formula units

---

No. 8
A plane-wave DFT calculation with meta-GGA SCAN was carried out for Pr2Tl3In3 at its PBEsol-relaxed geometry.

Cell: 4.6962 4.7130 9.3521 Å, 90.00 90.00 90.00°
Last column: nearest neighbours and their distance in Å.
Atoms (fractional coordinates):
Pr (0.0000, 0.0000, 0.2489)  6 Tl 3.31-3.33, 6 In 3.31-3.33
Pr (0.0000, 0.0000, 0.7511)  6 Tl 3.31-3.33, 6 In 3.31-3.33
Tl (0.0000, 0.5000, 0.5000)  4 Tl 3.33, 4 Pr 3.33, 4 In 3.34
Tl (0.5000, 0.0000, 0.0000)  8 In 3.29-3.33, 4 Pr 3.31
Tl (0.5000, 0.0000, 0.5000)  4 Pr 3.32, 4 Tl 3.33, 4 In 3.35
In (0.0000, 0.5000, 0.0000)  4 In 3.29, 4 Pr 3.31, 4 Tl 3.33
In (0.5000, 0.5000, 0.2461)  2 In 3.29, 6 Tl 3.29-3.35, 4 Pr 3.33
In (0.5000, 0.5000, 0.7539)  2 In 3.29, 6 Tl 3.29-3.35, 4 Pr 3.33

Computed properties:
ΔH_f (0 K) ... -391 kJ/mol of formula units

---

No. 9
A plane-wave DFT calculation with meta-GGA SCAN was carried out for PrYIn2 at its PBEsol-relaxed geometry.

Cell: 5.3285 5.3285 5.3285 Å, 60.00 60.00 60.00°
Last column: nearest neighbours and their distance in Å.
Atoms (fractional coordinates):
Pr (0.0000, 0.0000, 0.0000)  8 In 3.26
Y (0.5000, 0.5000, 0.5000)  8 In 3.26
In (0.2500, 0.2500, 0.2500)  4 Pr 3.26, 4 Y 3.26
In (0.7500, 0.7500, 0.7500)  4 Pr 3.26, 4 Y 3.26

Computed properties:
ΔH_f (0 K) ... -256 kJ/mol of formula units

---

No. 10
A plane-wave DFT calculation with meta-GGA SCAN was carried out for InPt3 at its PBEsol-relaxed geometry.

Cell: 3.9885 3.9885 3.9885 Å, 90.00 90.00 90.00°
Last column: nearest neighbours and their distance in Å.
Atoms (fractional coordinates):
In (0.0000, 0.0000, 0.0000)  12 Pt 2.82
Pt (0.0000, 0.5000, 0.5000)  4 In 2.82, 8 Pt 2.82
Pt (0.5000, 0.0000, 0.5000)  4 In 2.82, 8 Pt 2.82
Pt (0.5000, 0.5000, 0.0000)  4 In 2.82, 8 Pt 2.82

Computed properties:
ΔH_f (0 K) ... -153 kJ/mol of formula units

---

No. 11
A plane-wave DFT calculation with meta-GGA SCAN was carried out for InPt4 at its PBEsol-relaxed geometry.

Cell: 4.8633 4.8633 4.8633 Å, 99.87 99.87 131.08°
Last column: nearest neighbours and their distance in Å.
Atoms (fractional coordinates):
In (0.0000, 0.0000, 0.0000)  12 Pt 2.80-2.83
Pt (0.1966, 0.4022, 0.5989)  9 Pt 2.75-2.85, 3 In 2.80-2.83
Pt (0.4022, 0.8034, 0.2056)  9 Pt 2.75-2.85, 3 In 2.80-2.83
Pt (0.5978, 0.1966, 0.7944)  9 Pt 2.75-2.85, 3 In 2.80-2.83
Pt (0.8034, 0.5978, 0.4011)  9 Pt 2.75-2.85, 3 In 2.80-2.83

Computed properties:
ΔH_f (0 K) ... -102 kJ/mol of formula units

---

No. 12
A plane-wave DFT calculation with meta-GGA SCAN was carried out for InPt2 at its PBEsol-relaxed geometry.

Cell: 6.4600 6.4600 4.1208 Å, 90.00 90.00 145.04°
Last column: nearest neighbours and their distance in Å.
Atoms (fractional coordinates):
In (0.0936, 0.9064, 0.7500)  10 Pt 2.71-2.89
In (0.9064, 0.0936, 0.2500)  10 Pt 2.71-2.89
Pt (0.2524, 0.7476, 0.2500)  4 In 2.71-2.84, 8 Pt 2.83-2.92
Pt (0.4201, 0.5799, 0.7500)  6 In 2.84-2.89, 6 Pt 2.85-2.92
Pt (0.5799, 0.4201, 0.2500)  6 In 2.84-2.89, 6 Pt 2.85-2.92
Pt (0.7476, 0.2524, 0.7500)  4 In 2.71-2.84, 8 Pt 2.83-2.92

Computed properties:
ΔH_f (0 K) ... -103 kJ/mol of formula units